Record 1
VASP calculation (PBEsol) on a geometry-optimized Li2BeSe structure.

a b c (Å): 3.4304 3.4304 4.8285
angles (deg): 90.00 90.00 90.00
Atoms (fractional coordinates):
1 Be 0.5000 0.5000 0.5000
2 Li 0.0000 0.0000 0.2371
3 Li 0.0000 0.0000 0.7629
4 Se 0.5000 0.5000 0.0000

- total magnetization (μB/atom) = 0.00
- formation energy from raw total energies (eV per atom) = -0.26
- space group = P4/mmm (123)
- calculated volume (Å³/cell) = 56.82
- energy above the lowest structure with this stoichiometry (meV/atom) = 180



Record 2
VASP calculation (PBEsol) on a geometry-optimized Li2BeSe structure.

a b c (Å): 3.4925 3.6784 5.1915
angles (deg): 110.75 90.00 90.00
Atoms (fractional coordinates):
1 Se 0.5000 0.4433 0.8866
2 Li 0.5000 0.7191 0.4382
3 Li 0.0000 0.0298 0.0596
4 Be 0.0000 0.3078 0.6155

- total magnetization (μB/atom) = 0.00
- formation energy from raw total energies (eV per atom) = -0.44
- space group = Amm2 (38)
- calculated volume (Å³/cell) = 62.37
- energy above the lowest structure with this stoichiometry (meV/atom) = 0



Record 3
VASP calculation (PBEsol) on a geometry-optimized LiBe4Se structure.

a b c (Å): 4.5394 4.5394 4.5394
angles (deg): 60.00 60.00 60.00
Atoms (fractional coordinates):
1 Se 0.0000 0.0000 0.0000
2 Be 0.3773 0.8680 0.3773
3 Be 0.3773 0.3773 0.8680
4 Be 0.3773 0.3773 0.3773
5 Be 0.8680 0.3773 0.3773
6 Li 0.7500 0.7500 0.7500

- total magnetization (μB/atom) = 0.00
- formation energy from raw total energies (eV per atom) = 0.28
- space group = F-43m (216)
- calculated volume (Å³/cell) = 66.14



- Look up the calculated volume of the first one.
  56.82 Å³/cell